Entry 1:
Ce8CdGa6 | PBE | relaxed

Cell: 10.3774 10.3774 4.0043 Å, 90.00 90.00 120.00°
Sites, in units of the cell vectors:
1 Ce 0.0768 0.7839 0.1629
2 Ce 0.2161 0.2929 0.1629
3 Ce 0.2929 0.0768 0.8371
4 Ce 0.3333 0.6667 0.7567
5 Ce 0.6667 0.3333 0.2433
6 Ce 0.7071 0.9232 0.1629
7 Ce 0.7839 0.7071 0.8371
8 Ce 0.9232 0.2161 0.8371
9 Cd 0.0000 0.0000 0.5000
10 Ga 0.0746 0.4853 0.2688
11 Ga 0.4107 0.9254 0.2688
12 Ga 0.4853 0.4107 0.7312
13 Ga 0.5147 0.5893 0.2688
14 Ga 0.5893 0.0746 0.7312
15 Ga 0.9254 0.5147 0.7312

Values from the calculation:
* formation enthalpy at 0 K: -30 kJ per mole of atoms
* symmetry: P-3



Entry 2:
Ce2CdGa | PBE | relaxed

Cell: 6.3480 9.3460 3.2154 Å, 90.00 90.00 90.00°
Sites, in units of the cell vectors:
1 Ce 0.2500 0.2500 0.0000
2 Ce 0.2500 0.7500 0.0000
3 Ce 0.7500 0.2500 0.0000
4 Ce 0.7500 0.7500 0.0000
5 Cd 0.0000 0.0000 0.5000
6 Cd 0.5000 0.5000 0.5000
7 Ga 0.0000 0.5000 0.5000
8 Ga 0.5000 0.0000 0.5000

Values from the calculation:
* formation enthalpy at 0 K: -29 kJ per mole of atoms
* symmetry: Cmmm



Entry 3:
Ce3CdGa5 | PBE | relaxed

Cell: 8.6659 8.6659 6.2016 Å, 90.00 90.00 120.00°
Sites, in units of the cell vectors:
1 Ce 0.0000 0.3577 0.2500
2 Ce 0.0000 0.6423 0.7500
3 Ce 0.3577 0.0000 0.2500
4 Ce 0.3577 0.3577 0.7500
5 Ce 0.6423 0.0000 0.7500
6 Ce 0.6423 0.6423 0.2500
7 Cd 0.0000 0.0000 0.0000
8 Cd 0.0000 0.0000 0.5000
9 Ga 0.0000 0.3112 0.7500
10 Ga 0.0000 0.6888 0.2500
11 Ga 0.3112 0.0000 0.7500
12 Ga 0.3112 0.3112 0.2500
13 Ga 0.3333 0.6667 0.0000
14 Ga 0.3333 0.6667 0.5000
15 Ga 0.6667 0.3333 0.0000
16 Ga 0.6667 0.3333 0.5000
17 Ga 0.6888 0.0000 0.2500
18 Ga 0.6888 0.6888 0.7500

Values from the calculation:
* formation enthalpy at 0 K: -42 kJ per mole of atoms
* symmetry: P6_3/mcm



Entry 4:
Ce2CdGa3 | PBE | relaxed

Cell: 9.2697 8.8156 5.8954 Å, 75.20 66.85 37.94°
Sites, in units of the cell vectors:
1 Ce 0.2489 0.7511 0.7511
2 Ce 0.2500 0.2500 0.2500
3 Ce 0.7500 0.7500 0.7500
4 Ce 0.7511 0.2489 0.2489
5 Cd 0.1668 0.1668 0.8332
6 Cd 0.8332 0.8332 0.1668
7 Ga 0.1745 0.6622 0.3378
8 Ga 0.3372 0.3372 0.6628
9 Ga 0.3378 0.8255 0.1745
10 Ga 0.6622 0.1745 0.8255
11 Ga 0.6628 0.6628 0.3372
12 Ga 0.8255 0.3378 0.6622

Values from the calculation:
* formation enthalpy at 0 K: -44 kJ per mole of atoms
* symmetry: Fmmm